5
Lattice="-3.8312 1.4515 -1.3333 -0.8284 -3.8306 -1.7896 -1.7883 -1.3350 3.6854" Properties=species:S:1:pos:R:3 comment="NaMnCr3 | the Alexandria database | PBE | relaxed" crystal_system=cubic delta_e_f_ev_per_atom=1.2971 sg="No. 221" final_energy_ev_per_atom=-6.57 pbc="T T T"
Mn 0.0000 0.0000 0.0000
Cr -1.9156 0.7257 -0.6667
Cr -0.4142 -1.9153 -0.8948
Cr -0.8942 -0.6675 1.8427
Na -3.2240 -1.8571 0.2812